[1]
DFT (PBE) results for a relaxed GdErTiIn crystal.

Calculated formation energy (eV per atom): -0.08
Magnetic moment (μB per formula unit): 4.48

Geometry as extended XYZ:
```
16
Lattice="7.439 0.000 0.000 0.000 7.439 0.000 0.000 0.000 7.439" Properties=species:S:1:pos:R:3 pbc="T T T"
Gd 0.000 0.000 0.000
Gd 0.000 3.720 3.720
Gd 3.720 0.000 3.720
Gd 3.720 3.720 0.000
Er 0.000 0.000 3.720
Er 0.000 3.720 0.000
Er 3.720 0.000 0.000
Er 3.720 3.720 3.720
Ti 1.860 1.860 5.580
Ti 1.860 5.580 1.860
Ti 5.580 1.860 1.860
Ti 5.580 5.580 5.580
In 1.860 1.860 1.860
In 1.860 5.580 5.580
In 5.580 1.860 5.580
In 5.580 5.580 1.860
```

=====

[2]
DFT (PBE) results for a relaxed Ti2TcMo crystal.

Relative energy among the computed polymorphs (eV per formula unit): 0.21
Calculated formation energy (eV per atom): -0.27
Magnetic moment (μB per formula unit): 0.00

Geometry as extended XYZ:
```
4
Lattice="3.122 0.000 0.000 0.000 3.122 0.000 0.000 0.000 6.311" Properties=species:S:1:pos:R:3 pbc="T T T"
Ti 0.000 0.000 1.531
Ti 0.000 0.000 4.780
Tc 1.561 1.561 0.000
Mo 1.561 1.561 3.155
```

=====

[3]
DFT (PBE) results for a relaxed In2SbAu8 crystal.

Relative energy among the computed polymorphs (eV per formula unit): 0.27
Uncorrected formation energy (eV per formula unit): -0.247
Magnetic moment (μB per formula unit): 0.00

Geometry as extended XYZ:
```
11
Lattice="3.563 -6.623 0.000 3.563 6.623 0.000 -2.225 0.000 4.832" Properties=species:S:1:pos:R:3 pbc="T T T"
In 3.563 4.048 0.000
In 3.563 -4.048 0.000
Sb 2.451 0.000 2.416
Au -0.142 0.000 1.357
Au 0.311 1.551 3.836
Au 2.451 2.934 2.416
Au 0.311 -1.551 3.836
Au 4.591 1.551 0.995
Au 2.451 -2.934 2.416
Au 4.591 -1.551 0.995
Au 5.043 0.000 3.474
```

=====

[4]
DFT (PBE) results for a relaxed Cs2BeTcCl6 crystal.

Uncorrected formation energy (eV per formula unit): -11.282
Magnetic moment (μB per formula unit): 5.00

Geometry as extended XYZ:
```
10
Lattice="-3.574 3.574 5.544 3.574 -3.574 5.544 3.574 3.574 -5.544" Properties=species:S:1:pos:R:3 pbc="T T T"
Cs 3.574 0.000 2.772
Cs 0.000 3.574 2.772
Be 0.000 0.000 0.000
Tc 0.000 0.000 5.544
Cl 1.544 1.544 0.000
Cl 2.030 -2.030 5.544
Cl 0.000 0.000 3.102
Cl 0.000 0.000 7.985
Cl -2.030 2.030 5.544
Cl 2.030 2.030 5.544
```

=====

[5]
DFT (PBE) results for a relaxed MnCdAu3 crystal.

Relative energy among the computed polymorphs (eV per formula unit): 2.94
Calculated formation energy (eV per atom): 0.54
Magnetic moment (μB per formula unit): 4.35

Geometry as extended XYZ:
```
5
Lattice="4.953 0.000 0.000 0.000 4.953 0.000 0.000 0.000 4.953" Properties=species:S:1:pos:R:3 pbc="T T T"
Mn 0.000 0.000 0.000
Cd 2.476 2.476 2.476
Au 0.000 0.000 2.476
Au 0.000 2.476 0.000
Au 2.476 0.000 0.000
```

=====

[6]
DFT (PBE) results for a relaxed Li5As4 crystal.

Relative energy among the computed polymorphs (eV per formula unit): 0.00
Calculated formation energy (eV per atom): -0.53
Magnetic moment (μB per formula unit): 0.00

Geometry as extended XYZ:
```
9
Lattice="4.581 -2.065 0.000 4.581 2.065 0.000 -2.875 0.000 8.592" Properties=species:S:1:pos:R:3 pbc="T T T"
Li 0.000 0.000 0.000
Li -0.383 0.000 3.197
Li -0.186 0.000 7.299
Li 6.473 0.000 1.293
Li 6.671 0.000 5.395
As 2.314 0.000 3.366
As 3.714 0.000 1.339
As 2.574 0.000 7.254
As 3.973 0.000 5.226
```

=====

Look up the magnetic moment of the first one. 4.48 μB per formula unit